# 1
DFT (GGA-PBE) results for a relaxed LaDy2ErTm2 crystal.

Lattice parameters (Å, degrees): 6.906 16.007 3.522 90.00 90.00 90.00
Element x y z (fractional)
La: 0.000 0.000 0.000
La: 0.500 0.500 0.500
Dy: 0.248 0.341 0.000
Dy: 0.252 0.841 0.500
Dy: 0.748 0.159 0.500
Dy: 0.752 0.659 0.000
Er: 0.000 0.500 0.500
Er: 0.500 0.000 0.000
Tm: 0.250 0.156 0.500
Tm: 0.250 0.656 0.000
Tm: 0.750 0.344 0.000
Tm: 0.750 0.844 0.500

Symmetry   Pnnm (58)
Formation enthalpy at 0 K   171.4 meV/atom



# 2
DFT (GGA-PBE) results for a relaxed Cu2RuSe crystal.

Lattice parameters (Å, degrees): 3.643 3.643 4.213 90.00 90.00 90.00
Element x y z (fractional)
Cu: 0.000 0.500 0.000
Cu: 0.500 0.000 0.000
Ru: 0.000 0.000 0.500
Se: 0.500 0.500 0.500

Symmetry   P4/mmm (123)
Formation energy (no corrections)   0.34 eV/atom



# 3
DFT (GGA-PBE) results for a relaxed Li2NdDy2Ga2 crystal.

Lattice parameters (Å, degrees): 9.190 9.190 9.190 29.36 29.36 29.36
Element x y z (fractional)
Li: 0.097 0.097 0.097
Li: 0.903 0.903 0.903
Nd: 0.500 0.500 0.500
Dy: 0.372 0.372 0.372
Dy: 0.628 0.628 0.628
Ga: 0.242 0.242 0.242
Ga: 0.758 0.758 0.758

Symmetry   R-3m (166)
Formation enthalpy at 0 K   -283.1 meV/atom



# 4
DFT (GGA-PBE) results for a relaxed CoSb6Ru crystal.

Lattice parameters (Å, degrees): 7.995 7.995 9.249 125.09 125.09 70.62
Element x y z (fractional)
Co: 0.000 0.500 0.000
Co: 0.500 0.000 0.000
Sb: 0.153 0.836 0.158
Sb: 0.164 0.847 0.842
Sb: 0.177 0.507 0.337
Sb: 0.330 0.330 0.991
Sb: 0.340 0.340 0.685
Sb: 0.493 0.823 0.663
Sb: 0.507 0.177 0.337
Sb: 0.660 0.660 0.315
Sb: 0.670 0.670 0.009
Sb: 0.823 0.493 0.663
Sb: 0.836 0.153 0.158
Sb: 0.847 0.164 0.842
Ru: 0.000 0.500 0.500
Ru: 0.500 0.000 0.500

Symmetry   C2/m (12)
Formation energy (no corrections)   -0.16 eV/atom



# 5
DFT (GGA-PBE) results for a relaxed AcGdTmGa crystal.

Lattice parameters (Å, degrees): 5.490 5.490 5.490 60.00 60.00 60.00
Element x y z (fractional)
Ac: 0.000 0.000 0.000
Gd: 0.750 0.750 0.750
Tm: 0.250 0.250 0.250
Ga: 0.500 0.500 0.500

Symmetry   F-43m (216)
Formation enthalpy at 0 K   42.9 meV/atom



# 6
DFT (GGA-PBE) results for a relaxed Pa3RhSe2O6 crystal.

Lattice parameters (Å, degrees): 7.146 7.146 6.008 105.13 105.13 64.60
Element x y z (fractional)
Pa: 0.000 0.000 0.000
Pa: 0.000 0.500 0.500
Pa: 0.500 0.000 0.500
Rh: 0.500 0.500 0.500
Se: 0.194 0.194 0.811
Se: 0.806 0.806 0.189
O: 0.106 0.714 0.757
O: 0.286 0.894 0.243
O: 0.318 0.318 0.422
O: 0.682 0.682 0.578
O: 0.714 0.106 0.757
O: 0.894 0.286 0.243

Symmetry   C2/m (12)
Formation energy (no corrections)   -2.42 eV/atom



# 7
DFT (GGA-PBE) results for a relaxed TmZnPdAu crystal.

Lattice parameters (Å, degrees): 4.538 4.538 5.008 116.85 116.85 59.41
Element x y z (fractional)
Tm: 0.000 0.000 0.000
Zn: 0.489 0.489 0.466
Pd: 0.775 0.775 0.325
Au: 0.227 0.227 0.683

Symmetry   Cm (8)
Formation enthalpy at 0 K   -704.3 meV/atom



# 8
DFT (GGA-PBE) results for a relaxed Zn2Te crystal.

Lattice parameters (Å, degrees): 4.940 4.940 6.171 90.00 90.00 120.00
Element x y z (fractional)
Zn: 0.000 0.000 0.000
Zn: 0.000 0.000 0.500
Zn: 0.333 0.667 0.250
Zn: 0.667 0.333 0.750
Te: 0.333 0.667 0.750
Te: 0.667 0.333 0.250

Symmetry   P6_3/mmc (194)
Formation energy (no corrections)   0.10 eV/atom
Offset from the most stable computed form   220.2 meV per atom



E for the records above, in order: -4.43; -4.90; -3.69; -5.30; -6.38; -8.47; -4.26; -1.80 eV per atom